OsSeIO2: relaxed, PBE.

Structure (extended XYZ):
```
5
Lattice="3.8118 0.0000 0.0000 0.0000 3.8118 0.0000 0.0000 0.0000 6.9647" Properties=species:S:1:pos:R:3 pbc="T T T"
I 0.0000 0.0000 3.4823
Os 1.9059 1.9059 3.4823
O 0.0000 1.9059 0.0000
O 1.9059 0.0000 0.0000
Se 0.0000 0.0000 0.0000
```

## Properties
- energy above the most stable polymorph in this dataset (meV per atom) = 1006.0
- calculated total energy (eV per atom) = -4.356
- symmetry = P4/mmm
- Fermi-level density of states (states/eV/cell) = 3.14
- spin magnetization (μB/cell) = 1.62
- ΔE_f (raw) (eV per atom) = 0.880

OsSeIO2: relaxed, PBE.

Structure (extended XYZ):
```
5
Lattice="3.8463 0.0000 0.0000 0.0000 3.8463 0.0000 0.0000 0.0000 6.5587" Properties=species:S:1:pos:R:3 pbc="T T T"
I 0.0000 0.0000 3.2793
Os 0.0000 0.0000 0.0000
O 0.0000 1.9232 0.0000
O 1.9232 0.0000 0.0000
Se 1.9232 1.9232 3.2793
```

## Properties
- energy above the most stable polymorph in this dataset (meV per atom) = 0.0
- calculated total energy (eV per atom) = -5.362
- symmetry = P4/mmm
- Fermi-level density of states (states/eV/cell) = 3.60
- spin magnetization (μB/cell) = 0.00
- ΔE_f (raw) (eV per atom) = -0.126

SiOsI2O: relaxed, PBE.

Structure (extended XYZ):
```
5
Lattice="-2.7713 4.0290 -2.6169 -4.7837 -2.5932 1.0735 -0.3005 1.8916 3.2305" Properties=species:S:1:pos:R:3 pbc="T T T"
I -2.3919 -1.2966 0.5368
I -1.3857 2.0145 -1.3085
Si -3.9278 1.6637 0.8435
Os 0.0000 0.0000 0.0000
O -0.1502 0.9458 1.6153
```

## Properties
- energy above the most stable polymorph in this dataset (meV per atom) = 0.0
- calculated total energy (eV per atom) = -4.574
- symmetry = P4/mmm
- Fermi-level density of states (states/eV/cell) = 5.33
- spin magnetization (μB/cell) = 0.00
- ΔE_f (raw) (eV per atom) = 0.368

SiOsI2O: relaxed, PBE.

Structure (extended XYZ):
```
5
Lattice="-4.8354 -2.2038 -0.3343 0.8482 -2.5576 4.5923 -1.2993 2.5952 1.6854" Properties=species:S:1:pos:R:3 pbc="T T T"
I 0.4241 -1.2788 2.2961
I -2.4177 -1.1019 -0.1671
Si 0.0000 0.0000 0.0000
Os -2.6433 -1.0831 2.9717
O -0.6497 1.2976 0.8427
```

## Properties
- energy above the most stable polymorph in this dataset (meV per atom) = 199.9
- calculated total energy (eV per atom) = -4.374
- symmetry = P4/mmm
- Fermi-level density of states (states/eV/cell) = 3.68
- spin magnetization (μB/cell) = 0.00
- ΔE_f (raw) (eV per atom) = 0.568

SiOsIO2: relaxed, PBE.

Structure (extended XYZ):
```
5
Lattice="-1.4531 3.4411 0.6622 -1.9665 -0.2074 -3.2374 -6.4255 -3.5076 4.1278" Properties=species:S:1:pos:R:3 pbc="T T T"
I -3.2128 -1.7538 2.0639
Si -4.9226 -0.1370 0.7763
Os 0.0000 0.0000 0.0000
O -0.9833 -0.1037 -1.6187
O -0.7265 1.7206 0.3311
```

## Properties
- energy above the most stable polymorph in this dataset (meV per atom) = 0.0
- calculated total energy (eV per atom) = -5.585
- symmetry = P4/mmm
- Fermi-level density of states (states/eV/cell) = 3.35
- spin magnetization (μB/cell) = 0.51
- ΔE_f (raw) (eV per atom) = 0.039

SiOsIO2: relaxed, PBE.

Structure (extended XYZ):
```
5
Lattice="-2.1269 2.4681 -1.3604 -2.7947 -2.0666 0.6201 -0.8870 3.5459 7.8199" Properties=species:S:1:pos:R:3 pbc="T T T"
I -0.4435 1.7729 3.9100
Si 0.0000 0.0000 0.0000
Os -2.9043 1.9737 3.5398
O -1.3974 -1.0333 0.3100
O -1.0634 1.2340 -0.6802
```

## Properties
- energy above the most stable polymorph in this dataset (meV per atom) = 61.4
- calculated total energy (eV per atom) = -5.524
- symmetry = P4/mmm
- Fermi-level density of states (states/eV/cell) = 3.72
- spin magnetization (μB/cell) = 0.00
- ΔE_f (raw) (eV per atom) = 0.100

Copy entry 5 word for word.
SiOsIO2: relaxed, PBE.

Structure (extended XYZ):
```
5
Lattice="-1.4531 3.4411 0.6622 -1.9665 -0.2074 -3.2374 -6.4255 -3.5076 4.1278" Properties=species:S:1:pos:R:3 pbc="T T T"
I -3.2128 -1.7538 2.0639
Si -4.9226 -0.1370 0.7763
Os 0.0000 0.0000 0.0000
O -0.9833 -0.1037 -1.6187
O -0.7265 1.7206 0.3311
```

## Properties
- energy above the most stable polymorph in this dataset (meV per atom) = 0.0
- calculated total energy (eV per atom) = -5.585
- symmetry = P4/mmm
- Fermi-level density of states (states/eV/cell) = 3.35
- spin magnetization (μB/cell) = 0.51
- ΔE_f (raw) (eV per atom) = 0.039